(1)
# SiTe2P

A relaxed structure of SiTe2P (GGA-PBEsol, Alexandria).

abc: 7.680 7.680 7.680
angles: 153.44 151.47 39.37
Element x y z (fractional)
1 Si 0.000 0.000 0.000
2 Te 0.419 0.419 0.000
3 Te 0.689 0.189 0.500
4 P 0.125 0.625 0.500

Results
* M_tot: 0.0 μB/cell
* raw total energy: -4.382 eV/atom
* ΔE_f (raw): 0.265 eV per atom

=====

(2)
# SiTeP2

A relaxed structure of SiTeP2 (GGA-PBEsol, Alexandria).

abc: 6.083 6.083 6.083
angles: 115.93 115.93 97.21
Element x y z (fractional)
1 Si 0.000 0.000 0.000
2 Si 0.750 0.250 0.500
3 Te 0.250 0.750 0.500
4 Te 0.500 0.500 0.000
5 P 0.067 0.125 0.442
6 P 0.375 0.933 0.058
7 P 0.683 0.625 0.558
8 P 0.875 0.317 0.942

Results
* M_tot: 0.0 μB/cell
* relative energy among the computed polymorphs: 47 kJ/mol of formula units
* raw total energy: -4.978 eV/atom
* ΔE_f (raw): 0.236 eV per atom

=====

(3)
# SiTeP2

A relaxed structure of SiTeP2 (GGA-PBEsol, Alexandria).

abc: 6.676 6.676 6.676
angles: 31.59 31.59 31.59
Element x y z (fractional)
1 Si 0.000 0.000 0.000
2 Te 0.500 0.500 0.500
3 P 0.266 0.266 0.266
4 P 0.734 0.734 0.734

Results
* M_tot: 0.0 μB/cell
* relative energy among the computed polymorphs: 0 kJ/mol of formula units
* raw total energy: -5.101 eV/atom
* ΔE_f (raw): 0.113 eV per atom